(1)
# YHo2Mn (PBE-GGA, optimized geometry)
data_YHo2Mn
_chemical_formula_sum 'Y1 Ho2 Mn1'
_cell_length_a 3.531
_cell_length_b 3.531
_cell_length_c 8.611
_cell_angle_alpha 90.00
_cell_angle_beta 90.00
_cell_angle_gamma 90.00
_symmetry_space_group_name_H-M 'P 4/m m m'
_symmetry_Int_Tables_number 123
_symmetry_space_group_name_Hall '-P 4 2'
loop_
_atom_site_label
_atom_site_type_symbol
_atom_site_fract_x
_atom_site_fract_y
_atom_site_fract_z
_atom_site_occupancy
Y1 Y 0.000 0.000 0.000 1
Ho1 Ho 0.500 0.500 0.301 1
Mn1 Mn 0.000 0.000 0.500 1
# size of the total moment	3.6	μB per formula unit
# energy relative to the lowest polymorph listed for this composition	0	meV per atom
# D(E_F)	5.89	states/eV per cell

(2)
# Ho2Mn2Zn15 (PBE-GGA, optimized geometry)
data_Ho2Mn2Zn15
_chemical_formula_sum 'Ho6 Mn6 Zn45'
_cell_length_a 8.9392
_cell_length_b 8.9392
_cell_length_c 13.1619
_cell_angle_alpha 90.00
_cell_angle_beta 90.00
_cell_angle_gamma 120.00
_symmetry_space_group_name_H-M 'R -3 m'
_symmetry_Int_Tables_number 166
_symmetry_space_group_name_Hall '-R 3 2"'
loop_
_atom_site_label
_atom_site_type_symbol
_atom_site_fract_x
_atom_site_fract_y
_atom_site_fract_z
_atom_site_occupancy
Ho1 Ho 0.0000 0.0000 0.1643 1
Mn1 Mn 0.0000 0.0000 0.4004 1
Zn1 Zn 0.0000 0.2882 0.5000 1
Zn2 Zn 0.0000 0.5000 0.0000 1
Zn3 Zn 0.0051 0.5025 0.6483 1
# size of the total moment	7.1	μB per formula unit
# D(E_F)	30.78	states/eV per cell
# E_tot	-148.8	eV for the cell shown

(3)
# HoMnZn17 (PBE-GGA, optimized geometry)
data_HoMnZn17
_chemical_formula_sum 'Ho3 Mn3 Zn51'
_cell_length_a 8.8673
_cell_length_b 8.8673
_cell_length_c 13.2449
_cell_angle_alpha 90.00
_cell_angle_beta 90.00
_cell_angle_gamma 120.00
_symmetry_space_group_name_H-M 'R 3 m'
_symmetry_Int_Tables_number 160
_symmetry_space_group_name_Hall 'R 3 -2"'
loop_
_atom_site_label
_atom_site_type_symbol
_atom_site_fract_x
_atom_site_fract_y
_atom_site_fract_z
_atom_site_occupancy
Ho1 Ho 0.0000 0.0000 0.0000 1
Mn1 Mn 0.0000 0.0000 0.2746 1
Zn1 Zn 0.0000 0.0000 0.5583 1
Zn2 Zn 0.0000 0.0000 0.7600 1
Zn3 Zn 0.0050 0.5025 0.8163 1
Zn4 Zn 0.0282 0.3507 0.3298 1
Zn5 Zn 0.1712 0.3425 0.5023 1
Zn6 Zn 0.1729 0.3457 0.8384 1
# size of the total moment	4.0	μB per formula unit
# D(E_F)	16.08	states/eV per cell
# E_tot	-109.7	eV for the cell shown

(4)
# Ho6MnZn5 (PBE-GGA, optimized geometry)
data_Ho6MnZn5
_chemical_formula_sum 'Ho12 Mn2 Zn10'
_cell_length_a 15.815
_cell_length_b 7.112
_cell_length_c 4.992
_cell_angle_alpha 90.00
_cell_angle_beta 108.28
_cell_angle_gamma 90.00
_symmetry_space_group_name_H-M 'C 1 2/m 1'
_symmetry_Int_Tables_number 12
loop_
_symmetry_equiv_pos_as_xyz
'x,y,z'
'-x,-y,-z'
'-x,y,-z'
'x,-y,z'
'x+1/2,y+1/2,z'
'-x+1/2,-y+1/2,-z'
'-x+1/2,y+1/2,-z'
'x+1/2,-y+1/2,z'
loop_
_atom_site_label
_atom_site_type_symbol
_atom_site_fract_x
_atom_site_fract_y
_atom_site_fract_z
_atom_site_occupancy
Ho1 Ho 0.000 0.245 0.000 1
Ho2 Ho 0.165 0.248 0.665 1
Mn1 Mn 0.000 0.000 0.500 1
Zn1 Zn 0.000 0.500 0.500 1
Zn2 Zn 0.166 0.500 0.167 1
Zn3 Zn 0.167 0.000 0.167 1
# size of the total moment	2.1	μB per formula unit
# D(E_F)	26.77	states/eV per cell
# E_tot	-92.0	eV for the cell shown

(5)
# HoMnZn11 (PBE-GGA, optimized geometry)
data_HoMnZn11
_chemical_formula_sum 'Ho2 Mn2 Zn22'
_cell_length_a 5.244
_cell_length_b 12.483
_cell_length_c 6.769
_cell_angle_alpha 90.00
_cell_angle_beta 112.48
_cell_angle_gamma 90.00
_symmetry_space_group_name_H-M 'C 1 2/m 1'
_symmetry_Int_Tables_number 12
loop_
_symmetry_equiv_pos_as_xyz
'x,y,z'
'-x,-y,-z'
'-x,y,-z'
'x,-y,z'
'x+1/2,y+1/2,z'
'-x+1/2,-y+1/2,-z'
'-x+1/2,y+1/2,-z'
'x+1/2,-y+1/2,z'
loop_
_atom_site_label
_atom_site_type_symbol
_atom_site_fract_x
_atom_site_fract_y
_atom_site_fract_z
_atom_site_occupancy
Ho1 Ho 0.000 0.000 0.000 1
Mn1 Mn 0.000 0.000 0.500 1
Zn1 Zn 0.000 0.500 0.500 1
Zn2 Zn 0.112 0.391 0.218 1
Zn3 Zn 0.164 0.174 0.353 1
Zn4 Zn 0.250 0.250 0.000 1
# size of the total moment	3.2	μB per formula unit
# D(E_F)	10.31	states/eV per cell
# E_tot	-59.2	eV for the cell shown

(6)
# Ho5MnZn4 (PBE-GGA, optimized geometry)
data_Ho5MnZn4
_chemical_formula_sum 'Ho5 Mn1 Zn4'
_cell_length_a 3.541
_cell_length_b 3.541
_cell_length_c 17.746
_cell_angle_alpha 90.00
_cell_angle_beta 90.00
_cell_angle_gamma 90.00
_symmetry_space_group_name_H-M 'P 4/m m m'
_symmetry_Int_Tables_number 123
_symmetry_space_group_name_Hall '-P 4 2'
loop_
_atom_site_label
_atom_site_type_symbol
_atom_site_fract_x
_atom_site_fract_y
_atom_site_fract_z
_atom_site_occupancy
Ho1 Ho 0.000 0.000 0.000 1
Ho2 Ho 0.000 0.000 0.201 1
Ho3 Ho 0.000 0.000 0.402 1
Mn1 Mn 0.500 0.500 0.500 1
Zn1 Zn 0.500 0.500 0.101 1
Zn2 Zn 0.500 0.500 0.301 1
# size of the total moment	2.7	μB per formula unit
# D(E_F)	11.80	states/eV per cell
# E_tot	-39.5	eV for the cell shown

(7)
# HoMnZn4 (PBE-GGA, optimized geometry)
data_HoMnZn4
_chemical_formula_sum 'Ho4 Mn4 Zn16'
_cell_length_a 7.329
_cell_length_b 7.329
_cell_length_c 7.329
_cell_angle_alpha 90.00
_cell_angle_beta 90.00
_cell_angle_gamma 90.00
_symmetry_space_group_name_H-M 'F -4 3 m'
_symmetry_Int_Tables_number 216
_symmetry_space_group_name_Hall 'F -4 2 3'
loop_
_atom_site_label
_atom_site_type_symbol
_atom_site_fract_x
_atom_site_fract_y
_atom_site_fract_z
_atom_site_occupancy
Ho1 Ho 0.000 0.000 0.000 1
Mn1 Mn 0.250 0.250 0.250 1
Zn1 Zn 0.124 0.124 0.624 1
# size of the total moment	2.3	μB per formula unit
# D(E_F)	17.90	states/eV per cell
# E_tot	-78.7	eV for the cell shown

(8)
# HoZr2Mn (PBE-GGA, optimized geometry)
data_HoZr2Mn
_chemical_formula_sum 'Ho1 Zr2 Mn1'
_cell_length_a 3.233
_cell_length_b 3.233
_cell_length_c 8.283
_cell_angle_alpha 90.00
_cell_angle_beta 90.00
_cell_angle_gamma 90.00
_symmetry_space_group_name_H-M 'P 4/m m m'
_symmetry_Int_Tables_number 123
_symmetry_space_group_name_Hall '-P 4 2'
loop_
_atom_site_label
_atom_site_type_symbol
_atom_site_fract_x
_atom_site_fract_y
_atom_site_fract_z
_atom_site_occupancy
Ho1 Ho 0.000 0.000 0.000 1
Zr1 Zr 0.500 0.500 0.316 1
Mn1 Mn 0.000 0.000 0.500 1
# size of the total moment	0.0	μB per formula unit
# energy relative to the lowest polymorph listed for this composition	0	meV per atom
# D(E_F)	6.62	states/eV per cell

(9)
# HoZrMn2 (PBE-GGA, optimized geometry)
data_HoZrMn2
_chemical_formula_sum 'Ho1 Zr1 Mn2'
_cell_length_a 4.796
_cell_length_b 4.796
_cell_length_c 3.323
_cell_angle_alpha 90.00
_cell_angle_beta 90.00
_cell_angle_gamma 90.00
_symmetry_space_group_name_H-M 'P 4/m m m'
_symmetry_Int_Tables_number 123
_symmetry_space_group_name_Hall '-P 4 2'
loop_
_atom_site_label
_atom_site_type_symbol
_atom_site_fract_x
_atom_site_fract_y
_atom_site_fract_z
_atom_site_occupancy
Ho1 Ho 0.000 0.000 0.000 1
Zr1 Zr 0.500 0.500 0.000 1
Mn1 Mn 0.000 0.500 0.500 1
# size of the total moment	4.8	μB per formula unit
# D(E_F)	6.80	states/eV per cell
# E_tot	-30.8	eV for the cell shown

(10)
# HoZrMn2 (PBE-GGA, optimized geometry)
data_HoZrMn2
_chemical_formula_sum 'Ho1 Zr1 Mn2'
_cell_length_a 3.383
_cell_length_b 3.383
_cell_length_c 6.691
_cell_angle_alpha 90.00
_cell_angle_beta 90.00
_cell_angle_gamma 90.00
_symmetry_space_group_name_H-M 'P 4/m m m'
_symmetry_Int_Tables_number 123
_symmetry_space_group_name_Hall '-P 4 2'
loop_
_atom_site_label
_atom_site_type_symbol
_atom_site_fract_x
_atom_site_fract_y
_atom_site_fract_z
_atom_site_occupancy
Ho1 Ho 0.000 0.000 0.000 1
Zr1 Zr 0.000 0.000 0.500 1
Mn1 Mn 0.500 0.500 0.289 1
# size of the total moment	4.3	μB per formula unit
# D(E_F)	4.61	states/eV per cell
# E_tot	-31.1	eV for the cell shown

(11)
# HoZr2Mn (PBE-GGA, optimized geometry)
data_HoZr2Mn
_chemical_formula_sum 'Ho3 Zr6 Mn3'
_cell_length_a 3.2307
_cell_length_b 3.2307
_cell_length_c 30.2369
_cell_angle_alpha 90.00
_cell_angle_beta 90.00
_cell_angle_gamma 120.00
_symmetry_space_group_name_H-M 'R -3 m'
_symmetry_Int_Tables_number 166
_symmetry_space_group_name_Hall '-R 3 2"'
loop_
_atom_site_label
_atom_site_type_symbol
_atom_site_fract_x
_atom_site_fract_y
_atom_site_fract_z
_atom_site_occupancy
Ho1 Ho 0.0000 0.0000 0.0000 1
Zr1 Zr 0.0000 0.0000 0.1055 1
Mn1 Mn 0.0000 0.0000 0.5000 1
# size of the total moment	0.6	μB per formula unit
# energy relative to the lowest polymorph listed for this composition	270	meV per atom
# D(E_F)	16.86	states/eV per cell

(12)
# Ho2ZrMn (PBE-GGA, optimized geometry)
data_Ho2ZrMn
_chemical_formula_sum 'Ho2 Zr1 Mn1'
_cell_length_a 3.368
_cell_length_b 3.368
_cell_length_c 8.520
_cell_angle_alpha 90.00
_cell_angle_beta 90.00
_cell_angle_gamma 90.00
_symmetry_space_group_name_H-M 'P 4/m m m'
_symmetry_Int_Tables_number 123
_symmetry_space_group_name_Hall '-P 4 2'
loop_
_atom_site_label
_atom_site_type_symbol
_atom_site_fract_x
_atom_site_fract_y
_atom_site_fract_z
_atom_site_occupancy
Ho1 Ho 0.000 0.000 0.224 1
Zr1 Zr 0.500 0.500 0.500 1
Mn1 Mn 0.500 0.500 0.000 1
# size of the total moment	3.8	μB per formula unit
# D(E_F)	4.76	states/eV per cell
# E_tot	-26.2	eV for the cell shown

> Which value of size of the total moment does entry 5 give?

3.2 μB per formula unit

> D(E_F) of number 10 (HoZrMn2)?

4.61 states/eV per cell

> Among the records above, which one has the lowest size of the total moment?

number 8

> Look up the size of the total moment of the second one.

7.1 μB per formula unit